VASP calculation (PBE) on a relaxed structure of LaTmSn6.

## Properties
DOS at the Fermi energy (states/eV/atom): 0.48
Crystal system: tetragonal
Energy relative to the elements (kJ per mole of atoms): -45.9
Total moment (μB/f.u.): 0.000
SG: P4/mmm

Cell and atoms, written as extended XYZ:
```
8
Lattice="4.817 0.000 0.000 0.000 4.817 0.000 0.000 0.000 9.251" Properties=species:S:1:pos:R:3 pbc="T T T"
La 0.000 0.000 0.000
Sn 0.000 2.408 2.393
Sn 2.408 0.000 2.393
Sn 2.408 2.408 0.000
Sn 2.408 2.408 4.626
Sn 2.408 0.000 6.858
Sn 0.000 2.408 6.858
Tm 0.000 0.000 4.626
```

VASP calculation (PBE) on a relaxed structure of La2TmSn3.

## Properties
DOS at the Fermi energy (states/eV/atom): 0.89
Crystal system: orthorhombic
Energy relative to the elements (kJ per mole of atoms): -56.9
Total moment (μB/f.u.): 0.000
SG: Immm

Cell and atoms, written as extended XYZ:
```
6
Lattice="5.244 0.000 0.000 0.000 6.433 0.000 -2.622 -3.216 5.724" Properties=species:S:1:pos:R:3 pbc="T T T"
Tm 0.000 3.216 0.000
Sn 2.622 3.216 1.604
Sn 0.000 0.000 0.000
Sn 0.000 0.000 4.120
La 0.000 3.216 3.710
La 2.622 0.000 2.014
```

VASP calculation (PBE) on a relaxed structure of LaVSn2.

## Properties
DOS at the Fermi energy (states/eV/atom): 1.16
Crystal system: trigonal
Relative energy among the computed polymorphs (meV/atom): 413
Energy relative to the elements (kJ per mole of atoms): 25.2
Total moment (μB/f.u.): 0.001
SG: R-3m

Cell and atoms, written as extended XYZ:
```
4
Lattice="3.209 0.000 0.000 1.605 2.779 0.000 1.605 0.926 11.098" Properties=species:S:1:pos:R:3 pbc="T T T"
V 3.209 1.853 5.549
Sn 4.814 2.779 3.335
Sn 1.605 0.926 7.763
La 0.000 0.000 0.000
```

VASP calculation (PBE) on a relaxed structure of LaV2Sn2.

## Properties
DOS at the Fermi energy (states/eV/atom): 0.89
Crystal system: tetragonal
Relative energy among the computed polymorphs (meV/atom): 71
Energy relative to the elements (kJ per mole of atoms): -9.8
Total moment (μB/f.u.): 0.000
SG: I4/mmm

Cell and atoms, written as extended XYZ:
```
5
Lattice="4.827 0.000 0.000 0.000 4.827 0.000 2.413 2.413 4.909" Properties=species:S:1:pos:R:3 pbc="T T T"
V 4.827 4.827 3.981
V 2.413 2.413 0.929
Sn 2.413 4.827 2.455
Sn 4.827 2.413 2.455
La 0.000 0.000 0.000
```

VASP calculation (PBE) on a relaxed structure of LaV3Sn.

## Properties
DOS at the Fermi energy (states/eV/atom): 0.89
Crystal system: cubic
Relative energy among the computed polymorphs (meV/atom): 0
Energy relative to the elements (kJ per mole of atoms): 100.9
Total moment (μB/f.u.): 9.386
SG: Pm-3m

Cell and atoms, written as extended XYZ:
```
5
Lattice="5.104 0.000 0.000 0.000 5.104 0.000 0.000 0.000 5.104" Properties=species:S:1:pos:R:3 pbc="T T T"
V 0.000 0.000 2.552
V 2.552 0.000 0.000
V 0.000 2.552 0.000
Sn 0.000 0.000 0.000
La 2.552 2.552 2.552
```

VASP calculation (PBE) on a relaxed structure of LaV2Sn2.

## Properties
DOS at the Fermi energy (states/eV/atom): 0.66
Crystal system: tetragonal
Relative energy among the computed polymorphs (meV/atom): 0
Energy relative to the elements (kJ per mole of atoms): -16.6
Total moment (μB/f.u.): 0.000
SG: I4/mmm

Cell and atoms, written as extended XYZ:
```
5
Lattice="4.182 0.000 0.000 0.000 4.182 0.000 2.091 2.091 6.441" Properties=species:S:1:pos:R:3 pbc="T T T"
La 0.000 0.000 0.000
V 2.091 4.182 3.221
V 4.182 2.091 3.221
Sn 2.091 2.091 1.492
Sn 4.182 4.182 4.949
```

VASP calculation (PBE) on a relaxed structure of La3VSn.

## Properties
DOS at the Fermi energy (states/eV/atom): 1.43
Crystal system: cubic
Relative energy among the computed polymorphs (meV/atom): 0
Energy relative to the elements (kJ per mole of atoms): 2.5
Total moment (μB/f.u.): 0.549
SG: Pm-3m

Cell and atoms, written as extended XYZ:
```
5
Lattice="-3.500 -3.772 1.384 1.987 -3.221 -3.752 3.492 -1.948 3.522" Properties=species:S:1:pos:R:3 pbc="T T T"
V 0.000 0.000 0.000
La 0.993 -1.610 -1.876
La -1.750 -1.886 0.692
La 1.746 -0.974 1.761
Sn 0.989 -4.470 0.577
```

VASP calculation (PBE) on a relaxed structure of La2VSn.

## Properties
DOS at the Fermi energy (states/eV/atom): 0.85
Crystal system: tetragonal
Energy relative to the elements (kJ per mole of atoms): 19.3
Total moment (μB/f.u.): 2.895
SG: I-42d

Cell and atoms, written as extended XYZ:
```
8
Lattice="8.497 0.000 0.000 0.000 8.497 0.000 4.249 4.249 3.071" Properties=species:S:1:pos:R:3 pbc="T T T"
Sn 8.497 4.249 1.536
Sn 0.000 0.000 0.000
V 4.249 8.497 1.536
V 4.249 4.249 0.000
La 10.622 10.231 2.303
La 5.983 2.124 0.768
La 2.515 6.373 0.768
La 6.373 6.763 2.303
```